[1]
4
Lattice="2.677 0.011 0.000 -1.189 2.398 0.000 0.000 0.000 9.694" Properties=species:S:1:pos:R:3 comment="GGA-PBEsol Ag2MoIr, optimized geometry" polymorph_energy_ev_per_fu=0.28 e_tot_ev_per_atom=-6.583 dos_at_fermi_per_ev_fu=3.6 total_magnetization_mub_per_cell=0.0 crystal_system=orthorhombic e_form_mev_per_atom=471 pbc="T T T"
Mo 0.744 1.205 0.000
Ag 0.000 0.000 7.247
Ir 0.744 1.205 4.847
Ag 0.000 0.000 2.447

=====

[2]
4
Lattice="-2.390 1.347 0.723 -2.109 -1.697 -3.811 -1.377 -3.747 2.431" Properties=species:S:1:pos:R:3 comment="GGA-PBEsol Ag2MoIr, optimized geometry" polymorph_energy_ev_per_fu=1.59 e_tot_ev_per_atom=-6.254 dos_at_fermi_per_ev_fu=4.6 total_magnetization_mub_per_cell=0.0 crystal_system=tetragonal e_form_mev_per_atom=799 pbc="T T T"
Mo -1.195 0.673 0.361
Ir -2.938 -2.049 -0.329
Ag -0.688 -1.874 1.215
Ag -1.054 -0.848 -1.905

=====

Please write out number 1 again, unchanged.
4
Lattice="2.677 0.011 0.000 -1.189 2.398 0.000 0.000 0.000 9.694" Properties=species:S:1:pos:R:3 comment="GGA-PBEsol Ag2MoIr, optimized geometry" polymorph_energy_ev_per_fu=0.28 e_tot_ev_per_atom=-6.583 dos_at_fermi_per_ev_fu=3.6 total_magnetization_mub_per_cell=0.0 crystal_system=orthorhombic e_form_mev_per_atom=471 pbc="T T T"
Mo 0.744 1.205 0.000
Ag 0.000 0.000 7.247
Ir 0.744 1.205 4.847
Ag 0.000 0.000 2.447